No. 1
10
Lattice="0.000 5.492 5.492 5.492 0.000 5.492 5.492 5.492 0.000" Properties=species:S:1:pos:R:3 comment="Sr2AgSnHg6 (GGA-PBE, optimized geometry)" mass_density_g_cm3=8.05 ef_ev_per_atom=-0.0763 dft_energy_ev_per_fu=-12.79 pbc="T T T"
Sr 2.746 2.746 2.746
Sr 8.238 8.238 8.238
Ag 0.000 0.000 0.000
Sn 5.492 5.492 5.492
Hg 5.492 5.492 2.685
Hg 5.492 2.685 5.492
Hg 8.299 5.492 5.492
Hg 2.685 5.492 5.492
Hg 5.492 8.299 5.492
Hg 5.492 5.492 8.299

=====

No. 2
10
Lattice="4.773 0.000 0.000 0.000 4.773 0.000 0.000 0.000 12.534" Properties=species:S:1:pos:R:3 comment="Sr2AgSn4Hg3 (GGA-PBE, optimized geometry)" mass_density_g_cm3=7.91 ef_ev_per_atom=-0.3168 dft_energy_ev_per_fu=-26.30 pbc="T T T"
Sr 0.000 2.387 2.923
Sr 2.387 0.000 9.611
Ag 2.387 2.387 0.000
Sn 0.000 0.000 6.267
Sn 0.000 2.387 10.911
Sn 2.387 0.000 1.624
Sn 2.387 2.387 6.267
Hg 0.000 0.000 0.000
Hg 0.000 2.387 8.123
Hg 2.387 0.000 4.411

=====

No. 3
10
Lattice="4.732 0.000 0.000 0.000 4.732 0.000 0.000 0.000 11.952" Properties=species:S:1:pos:R:3 comment="Sr2Ag3Sn4Hg (GGA-PBE, optimized geometry)" mass_density_g_cm3=7.29 ef_ev_per_atom=-0.3410 dft_energy_ev_per_fu=-31.64 pbc="T T T"
Sr 0.000 2.366 2.947
Sr 2.366 0.000 9.005
Ag 0.000 0.000 0.000
Ag 0.000 2.366 7.600
Ag 2.366 0.000 4.352
Sn 0.000 0.000 5.976
Sn 0.000 2.366 10.305
Sn 2.366 0.000 1.647
Sn 2.366 2.366 5.976
Hg 2.366 2.366 0.000

=====

No. 4
4
Lattice="0.000 3.729 3.729 3.729 0.000 3.729 3.729 3.729 0.000" Properties=species:S:1:pos:R:3 comment="SrAgSnHg (GGA-PBE, optimized geometry)" mass_density_g_cm3=8.24 ef_ev_per_atom=-0.3342 dft_energy_ev_per_fu=-10.17 de_polymorph_ev_per_atom=0.022 pbc="T T T"
Sr 0.000 0.000 0.000
Ag 1.865 1.865 1.865
Sn 3.729 3.729 3.729
Hg 5.594 5.594 5.594

=====

No. 5
4
Lattice="0.000 3.616 3.616 3.616 0.000 3.616 3.616 3.616 0.000" Properties=species:S:1:pos:R:3 comment="TbAgSnHg (GGA-PBE, optimized geometry)" mass_density_g_cm3=10.29 ef_ev_per_atom=-0.3454 dft_energy_ev_per_fu=-13.17 pbc="T T T"
Tb 0.000 0.000 0.000
Ag 3.616 3.616 3.616
Sn 1.808 1.808 1.808
Hg 5.424 5.424 5.424

=====

No. 6
8
Lattice="0.000 4.705 6.684 4.703 0.000 6.684 4.703 4.705 0.000" Properties=species:S:1:pos:R:3 comment="AgSnHg2Te4 (GGA-PBE, optimized geometry)" mass_density_g_cm3=6.39 e_form_raw_ev_per_atom=-0.13 dft_energy_ev_per_fu=-21.04 pbc="T T T"
Ag 0.000 0.000 0.000
Sn 4.703 4.705 6.669
Hg 2.352 2.352 3.334
Hg 7.055 7.057 10.018
Te 4.703 2.253 5.014
Te 7.145 4.705 8.339
Te 4.703 7.156 5.014
Te 2.262 4.705 8.339

=====

No. 7
8
Lattice="0.000 4.630 6.515 4.630 0.000 6.515 4.630 4.630 0.000" Properties=species:S:1:pos:R:3 comment="Ag2SnHgTe4 (GGA-PBE, optimized geometry)" mass_density_g_cm3=6.22 e_form_raw_ev_per_atom=-0.15 dft_energy_ev_per_fu=-23.79 pbc="T T T"
Ag 2.315 2.315 0.000
Ag 2.315 2.315 6.515
Sn 4.630 4.630 3.260
Hg 4.630 4.630 9.767
Te 6.900 4.630 4.953
Te 4.630 2.267 8.077
Te 2.359 4.630 4.953
Te 4.630 6.993 8.077

=====

No. 8
4
Lattice="0.000 3.669 3.669 3.669 0.000 3.669 3.669 3.669 0.000" Properties=species:S:1:pos:R:3 comment="ThAgSnHg (GGA-PBE, optimized geometry)" mass_density_g_cm3=11.08 ef_ev_per_atom=-0.1901 dft_energy_ev_per_fu=-15.34 pbc="T T T"
Th 0.000 0.000 0.000
Ag 5.504 5.504 5.504
Sn 3.669 3.669 3.669
Hg 1.835 1.835 1.835

=====

No. 9
4
Lattice="0.000 3.700 3.700 3.700 0.000 3.700 3.700 3.700 0.000" Properties=species:S:1:pos:R:3 comment="TlAgSnHg (GGA-PBE, optimized geometry)" mass_density_g_cm3=10.35 ef_ev_per_atom=0.1335 dft_energy_ev_per_fu=-8.99 pbc="T T T"
Tl 0.000 0.000 0.000
Ag 1.850 1.850 1.850
Sn 3.700 3.700 3.700
Hg 5.550 5.550 5.550

=====

No. 10
4
Lattice="0.000 3.615 3.615 3.615 0.000 3.615 3.615 3.615 0.000" Properties=species:S:1:pos:R:3 comment="YAgSnHg (GGA-PBE, optimized geometry)" mass_density_g_cm3=9.07 ef_ev_per_atom=-0.3403 dft_energy_ev_per_fu=-14.98 pbc="T T T"
Y 0.000 0.000 0.000
Ag 3.615 3.615 3.615
Sn 5.422 5.422 5.422
Hg 1.807 1.807 1.807

=====

No. 11
4
Lattice="3.969 0.000 0.000 0.000 3.969 0.000 0.000 0.000 6.843" Properties=species:S:1:pos:R:3 comment="SrAgHg2 (GGA-PBE, optimized geometry)" mass_density_g_cm3=9.19 ef_ev_per_atom=-0.2397 dft_energy_ev_per_fu=-6.10 pbc="T T T"
Sr 0.000 0.000 0.000
Ag 1.984 1.984 1.900
Hg 0.000 0.000 3.304
Hg 1.984 1.984 4.945

=====

No. 12
9
Lattice="7.103 -4.501 0.000 7.103 4.501 0.000 -0.960 0.000 3.608" Properties=species:S:1:pos:R:3 comment="SrAg2Hg6 (GGA-PBE, optimized geometry)" mass_density_g_cm3=10.85 ef_ev_per_atom=-0.0861 dft_energy_ev_per_fu=-9.97 pbc="T T T"
Sr 0.000 0.000 0.000
Ag 4.456 0.000 3.155
Ag 8.791 0.000 0.453
Hg 1.983 1.490 2.477
Hg 6.624 1.563 1.804
Hg 1.983 -1.490 2.477
Hg 11.264 1.490 1.131
Hg 6.624 -1.563 1.804
Hg 11.264 -1.490 1.131